A relaxed structure of Li2PaTaS6. Source: the Alexandria database, functional PBE.

Calculated values
Total moment (μB/cell): 0.0
Uncorrected formation energy (eV per atom): -1.19

Unit cell a=6.4908 b=6.4908 c=17.5886 alpha=90.00 beta=90.00 gamma=120.00
Space group R3 (No. 146, hexagonal axes)
Symmetry-distinct sites (fractional):
1 Li 0.0000 0.0000 0.0000
2 Li 0.0000 0.0000 0.4959
3 Pa 0.0000 0.0000 0.8055
4 Ta 0.0000 0.0000 0.3068
5 S 0.0103 0.7020 0.3922
6 S 0.0347 0.3387 0.8979